1.
Compound: KBeSe3
Source: Alexandria via LeMat-Bulk
Functional: GGA-PBE
Structure: relaxed

Cell and atoms, written as POSCAR:
```
KBeSe3
1.0
-3.9781 2.4389 -3.8967
-2.9084 -5.3260 -0.3643
-3.5600 1.6258 4.6519
Se Be K
3 1 1
direct
0.5000 0.0000 0.0000
0.0000 0.5000 0.0000
0.0000 0.0000 0.5000
0.5000 0.5000 0.5000
0.0000 0.0000 0.0000
```

## Properties
Energy above the most stable polymorph in this dataset (meV/atom): 1610.1
Size of the total moment (Bohr magnetons per cell): 5.00
Formation energy (no corrections) (eV/atom): 1.395
Calculated total energy (eV/atom): -1.6608

=====

2.
Compound: Ce2PmI8
Source: Alexandria via LeMat-Bulk
Functional: GGA-PBE
Structure: relaxed

Cell and atoms, written as POSCAR:
```
Ce2PmI8
1.0
6.5675 0.1417 0.1075
0.1691 9.9603 0.3222
0.1691 2.9922 9.5057
I Pm Ce
8 1 2
direct
0.2471 0.2806 0.8800
0.2471 0.8800 0.2806
0.7529 0.7194 0.1200
0.7578 0.1778 0.1778
0.2604 0.3884 0.3884
0.7529 0.1200 0.7194
0.7396 0.6116 0.6116
0.2422 0.8222 0.8222
0.0000 0.0000 0.0000
0.2533 0.2066 0.2066
0.7467 0.7934 0.7934
```

## Properties
Size of the total moment (Bohr magnetons per cell): 3.06
Formation energy (no corrections) (eV/atom): -1.200
Calculated total energy (eV/atom): -3.8384

=====

3.
Compound: Ca2ScMo
Source: Alexandria via LeMat-Bulk
Functional: GGA-PBE
Structure: relaxed

Cell and atoms, written as POSCAR:
```
Ca2ScMo
1.0
3.5893 0.0000 0.0000
0.0000 3.5893 0.0000
0.0000 0.0000 8.6515
Mo Sc Ca
1 1 2
direct
0.5000 0.5000 0.2500
0.5000 0.5000 0.7500
0.0000 0.0000 0.4618
0.0000 0.0000 0.0382
```

## Properties
Energy above the most stable polymorph in this dataset (meV/atom): 424.1
Size of the total moment (Bohr magnetons per cell): 3.67
Energy of formation (eV per atom): 0.765
Calculated total energy (eV/atom): -4.5263

=====

4.
Compound: BaY2TcPt
Source: Alexandria via LeMat-Bulk
Functional: GGA-PBE
Structure: relaxed

Cell and atoms, written as POSCAR:
```
BaY2TcPt
1.0
-0.4249 4.9884 2.5189
-1.6429 -2.2961 4.2701
5.2910 -0.4540 1.7916
Y Tc Pt Ba
2 1 1 1
direct
0.5000 0.0000 0.0000
0.0000 0.0000 0.5000
0.5000 0.5000 0.5000
0.0000 0.5000 0.0000
0.0000 0.0000 0.0000
```

## Properties
Size of the total moment (Bohr magnetons per cell): 3.34
Energy of formation (eV per atom): 1.784
Calculated total energy (eV/atom): -4.4678

=====

5.
Compound: La2RePb
Source: Alexandria via LeMat-Bulk
Functional: GGA-PBE
Structure: relaxed

Cell and atoms, written as POSCAR:
```
La2RePb
1.0
3.4798 0.0062 0.0000
-0.1330 3.4773 0.0000
0.0000 0.0000 9.2629
La Re Pb
2 1 1
direct
0.0000 0.0000 0.5552
0.0000 0.0000 0.9448
0.5000 0.5000 0.7500
0.5000 0.5000 0.2500
```

## Properties
Size of the total moment (Bohr magnetons per cell): 0.00
Energy of formation (eV per atom): -0.002
Calculated total energy (eV/atom): -6.5051

=====

6.
Compound: Th3MnP2Rh9
Source: Alexandria via LeMat-Bulk
Functional: GGA-PBE
Structure: relaxed

Cell and atoms, written as POSCAR:
```
Th3MnP2Rh9
1.0
5.8050 0.0000 0.0000
-2.9025 5.0273 0.0000
0.0000 0.0000 9.6497
Rh Mn Th P
9 1 3 2
direct
0.8392 0.6784 0.6965
0.3216 0.1608 0.6965
0.5000 0.0000 0.0000
0.0000 0.5000 0.0000
0.8392 0.1608 0.6965
0.5000 0.5000 0.0000
0.1608 0.8392 0.3035
0.6784 0.8392 0.3035
0.1608 0.3216 0.3035
0.0000 0.0000 0.5000
0.3333 0.6667 0.6192
0.0000 0.0000 0.0000
0.6667 0.3333 0.3808
0.6667 0.3333 0.8411
0.3333 0.6667 0.1589
```

## Properties
Size of the total moment (Bohr magnetons per cell): 3.58
Energy of formation (eV per atom): -0.673
Calculated total energy (eV/atom): -7.9004

=====

7.
Compound: GaCuIO2
Source: Alexandria via LeMat-Bulk
Functional: GGA-PBE
Structure: relaxed

Cell and atoms, written as POSCAR:
```
GaCuIO2
1.0
-3.9360 0.3546 -0.2640
-0.4166 -2.1831 3.2784
0.2003 4.4447 2.9852
O Cu I Ga
2 1 1 1
direct
0.0000 0.5000 0.0000
0.5000 0.0000 0.0000
0.0000 0.0000 0.0000
0.0000 0.0000 0.5000
0.5000 0.5000 0.5000
```

## Properties
Energy above the most stable polymorph in this dataset (meV/atom): 601.6
Size of the total moment (Bohr magnetons per cell): 0.00
Formation energy (no corrections) (eV/atom): 0.222
Calculated total energy (eV/atom): -3.4954

=====

8.
Compound: Cr4W5
Source: Alexandria via LeMat-Bulk
Functional: GGA-PBE
Structure: relaxed

Cell and atoms, written as POSCAR:
```
Cr4W5
1.0
-4.5878 4.5878 1.5371
4.5878 -4.5878 1.5371
4.5878 4.5878 -1.5371
W Cr
5 4
direct
0.6685 0.3315 0.0000
0.6685 0.6685 0.3371
0.0000 0.0000 0.0000
0.3315 0.3315 0.6629
0.3315 0.6685 0.0000
0.0000 0.3423 0.3423
0.6577 0.0000 0.6577
0.3423 0.0000 0.3423
0.0000 0.6577 0.6577
```

## Properties
Size of the total moment (Bohr magnetons per cell): 0.00
Energy of formation (eV per atom): 0.106
Calculated total energy (eV/atom): -11.3673